First-principles (GGA-PBE) data for SmCdPt6 after structural relaxation, as listed in Alexandria via LeMat-Bulk.

Cell and atoms, written as CIF:
```
data_SmCdPt6
_chemical_formula_sum 'Sm1 Cd1 Pt6'
_space_group_name_H-M_alt 'P m -3'
_space_group_IT_number 200
_space_group_name_Hall '-P 2 2 3'
_cell_length_a 5.2618
_cell_length_b 5.2618
_cell_length_c 5.2618
_cell_angle_alpha 90.00
_cell_angle_beta 90.00
_cell_angle_gamma 90.00
loop_
_atom_site_label
_atom_site_fract_x
_atom_site_fract_y
_atom_site_fract_z
Sm1 0.0000 0.0000 0.0000
Cd1 0.5000 0.5000 0.5000
Pt1 0.0000 0.2524 0.5000
```

---

First-principles (GGA-PBE) data for Sm2Cd3Pt2 after structural relaxation, as listed in Alexandria via LeMat-Bulk.

Cell and atoms, written as CIF:
```
data_Sm2Cd3Pt2
_chemical_formula_sum 'Sm4 Cd6 Pt4'
_space_group_name_H-M_alt 'C 1 2/m 1'
_space_group_IT_number 12
_cell_length_a 10.0269
_cell_length_b 4.4839
_cell_length_c 7.5296
_cell_angle_alpha 90.00
_cell_angle_beta 109.84
_cell_angle_gamma 90.00
loop_
_space_group_symop_operation_xyz
'x,y,z'
'-x,-y,-z'
'-x,y,-z'
'x,-y,z'
'x+1/2,y+1/2,z'
'-x+1/2,-y+1/2,-z'
'-x+1/2,y+1/2,-z'
'x+1/2,-y+1/2,z'
loop_
_atom_site_label
_atom_site_fract_x
_atom_site_fract_y
_atom_site_fract_z
Sm1 0.1410 0.0000 0.2862
Cd1 0.0000 0.5000 0.5000
Cd2 0.1276 0.5000 0.9402
Pt1 0.1593 0.0000 0.6949
```

## Properties
Its energy above the most stable polymorph in this dataset is 0.0000 eV per atom.

---

First-principles (GGA-PBE) data for Sm2Cd2Pt15 after structural relaxation, as listed in Alexandria via LeMat-Bulk.

Cell and atoms, written as CIF:
```
data_Sm2Cd2Pt15
_chemical_formula_sum 'Sm6 Cd6 Pt45'
_space_group_name_H-M_alt 'R -3 m'
_space_group_IT_number 166
_space_group_name_Hall '-R 3 2"'
_cell_length_a 9.3525
_cell_length_b 9.3525
_cell_length_c 13.5549
_cell_angle_alpha 90.00
_cell_angle_beta 90.00
_cell_angle_gamma 120.00
loop_
_atom_site_label
_atom_site_fract_x
_atom_site_fract_y
_atom_site_fract_z
Sm1 0.0000 0.0000 0.1476
Cd1 0.0000 0.0000 0.3989
Pt1 0.0000 0.3173 0.5000
Pt2 0.0000 0.5000 0.0000
Pt3 0.0050 0.5025 0.6588
```

---

First-principles (GGA-PBE) data for SmCdPt after structural relaxation, as listed in Alexandria via LeMat-Bulk.

Cell and atoms, written as CIF:
```
data_SmCdPt
_chemical_formula_sum 'Sm6 Cd6 Pt6'
_space_group_name_H-M_alt 'P m m a'
_space_group_IT_number 51
_cell_length_a 13.3379
_cell_length_b 4.0041
_cell_length_c 7.7717
_cell_angle_alpha 90.00
_cell_angle_beta 90.00
_cell_angle_gamma 90.00
loop_
_space_group_symop_operation_xyz
'x,y,z'
'-x,-y,-z'
'-x+1/2,-y,z'
'x+1/2,y,-z'
'x+1/2,-y,-z'
'-x+1/2,y,z'
'-x,y,-z'
'x,-y,z'
loop_
_atom_site_label
_atom_site_fract_x
_atom_site_fract_y
_atom_site_fract_z
Sm1 0.0491 0.0000 0.2251
Sm2 0.2500 0.0000 0.8285
Cd1 0.1136 0.5000 0.5600
Cd2 0.2500 0.5000 0.1867
Pt1 0.0966 0.5000 0.9299
Pt2 0.2500 0.0000 0.4386
```

---

First-principles (GGA-PBE) data for Sm2CdSn3Pt4 after structural relaxation, as listed in Alexandria via LeMat-Bulk.

Cell and atoms, written as CIF:
```
data_Sm2CdSn3Pt4
_chemical_formula_sum 'Sm2 Cd1 Sn3 Pt4'
_space_group_name_H-M_alt 'P -4 m 2'
_space_group_IT_number 115
_cell_length_a 4.4953
_cell_length_b 4.4953
_cell_length_c 11.0667
_cell_angle_alpha 90.00
_cell_angle_beta 90.00
_cell_angle_gamma 90.00
loop_
_space_group_symop_operation_xyz
'x,y,z'
'y,-x,-z'
'-x,-y,z'
'-y,x,-z'
'-x,y,z'
'-y,-x,-z'
'x,-y,z'
'y,x,-z'
loop_
_atom_site_label
_atom_site_fract_x
_atom_site_fract_y
_atom_site_fract_z
Sm1 0.0000 0.5000 0.2482
Cd1 0.0000 0.0000 0.5000
Sn1 0.0000 0.5000 0.8713
Sn2 0.5000 0.5000 0.5000
Pt1 0.0000 0.0000 0.0000
Pt2 0.0000 0.5000 0.6401
Pt3 0.5000 0.5000 0.0000
```

---

First-principles (GGA-PBE) data for SmThCdPt after structural relaxation, as listed in Alexandria via LeMat-Bulk.

Cell and atoms, written as CIF:
```
data_SmThCdPt
_chemical_formula_sum 'Sm4 Th4 Cd4 Pt4'
_space_group_name_H-M_alt 'F -4 3 m'
_space_group_IT_number 216
_space_group_name_Hall 'F -4 2 3'
_cell_length_a 7.4046
_cell_length_b 7.4046
_cell_length_c 7.4046
_cell_angle_alpha 90.00
_cell_angle_beta 90.00
_cell_angle_gamma 90.00
loop_
_atom_site_label
_atom_site_fract_x
_atom_site_fract_y
_atom_site_fract_z
Sm1 0.0000 0.0000 0.0000
Th1 0.0000 0.0000 0.5000
Cd1 0.2500 0.2500 0.2500
Pt1 0.2500 0.2500 0.7500
```

---

First-principles (GGA-PBE) data for SmTlCdPt after structural relaxation, as listed in Alexandria via LeMat-Bulk.

Cell and atoms, written as CIF:
```
data_SmTlCdPt
_chemical_formula_sum 'Sm4 Tl4 Cd4 Pt4'
_space_group_name_H-M_alt 'F -4 3 m'
_space_group_IT_number 216
_space_group_name_Hall 'F -4 2 3'
_cell_length_a 7.1345
_cell_length_b 7.1345
_cell_length_c 7.1345
_cell_angle_alpha 90.00
_cell_angle_beta 90.00
_cell_angle_gamma 90.00
loop_
_atom_site_label
_atom_site_fract_x
_atom_site_fract_y
_atom_site_fract_z
Sm1 0.0000 0.0000 0.0000
Tl1 0.2500 0.2500 0.2500
Cd1 0.0000 0.0000 0.5000
Pt1 0.2500 0.2500 0.7500
```

---

First-principles (GGA-PBE) data for SmYCdPt after structural relaxation, as listed in Alexandria via LeMat-Bulk.

Cell and atoms, written as CIF:
```
data_SmYCdPt
_chemical_formula_sum 'Sm4 Y4 Cd4 Pt4'
_space_group_name_H-M_alt 'F -4 3 m'
_space_group_IT_number 216
_space_group_name_Hall 'F -4 2 3'
_cell_length_a 7.2861
_cell_length_b 7.2861
_cell_length_c 7.2861
_cell_angle_alpha 90.00
_cell_angle_beta 90.00
_cell_angle_gamma 90.00
loop_
_atom_site_label
_atom_site_fract_x
_atom_site_fract_y
_atom_site_fract_z
Sm1 0.0000 0.0000 0.0000
Y1 0.0000 0.0000 0.5000
Cd1 0.2500 0.2500 0.7500
Pt1 0.2500 0.2500 0.2500
```

---

First-principles (GGA-PBE) data for SmZnCdPt after structural relaxation, as listed in Alexandria via LeMat-Bulk.

Cell and atoms, written as CIF:
```
data_SmZnCdPt
_chemical_formula_sum 'Sm4 Zn4 Cd4 Pt4'
_space_group_name_H-M_alt 'F -4 3 m'
_space_group_IT_number 216
_space_group_name_Hall 'F -4 2 3'
_cell_length_a 6.9007
_cell_length_b 6.9007
_cell_length_c 6.9007
_cell_angle_alpha 90.00
_cell_angle_beta 90.00
_cell_angle_gamma 90.00
loop_
_atom_site_label
_atom_site_fract_x
_atom_site_fract_y
_atom_site_fract_z
Sm1 0.0000 0.0000 0.0000
Zn1 0.2500 0.2500 0.2500
Cd1 0.0000 0.0000 0.5000
Pt1 0.2500 0.2500 0.7500
```

---

First-principles (GGA-PBE) data for SmZn5CdPt2 after structural relaxation, as listed in Alexandria via LeMat-Bulk.

Cell and atoms, written as CIF:
```
data_SmZn5CdPt2
_chemical_formula_sum 'Sm1 Zn5 Cd1 Pt2'
_space_group_name_H-M_alt 'P 4/m m m'
_space_group_IT_number 123
_space_group_name_Hall '-P 4 2'
_cell_length_a 4.8426
_cell_length_b 4.8426
_cell_length_c 7.5430
_cell_angle_alpha 90.00
_cell_angle_beta 90.00
_cell_angle_gamma 90.00
loop_
_atom_site_label
_atom_site_fract_x
_atom_site_fract_y
_atom_site_fract_z
Sm1 0.0000 0.0000 0.0000
Zn1 0.0000 0.5000 0.2695
Zn2 0.5000 0.5000 0.0000
Cd1 0.0000 0.0000 0.5000
Pt1 0.5000 0.5000 0.3227
```

---

First-principles (GGA-PBE) data for Sm2Zn2CdPt5 after structural relaxation, as listed in Alexandria via LeMat-Bulk.

Cell and atoms, written as CIF:
```
data_Sm2Zn2CdPt5
_chemical_formula_sum 'Sm4 Zn4 Cd2 Pt10'
_space_group_name_H-M_alt 'P 4/m b m'
_space_group_IT_number 127
_space_group_name_Hall '-P 4 2ab'
_cell_length_a 9.7473
_cell_length_b 9.7473
_cell_length_c 3.8737
_cell_angle_alpha 90.00
_cell_angle_beta 90.00
_cell_angle_gamma 90.00
loop_
_atom_site_label
_atom_site_fract_x
_atom_site_fract_y
_atom_site_fract_z
Sm1 0.1777 0.3223 0.0000
Zn1 0.1194 0.6194 0.0000
Cd1 0.0000 0.0000 0.0000
Pt1 0.0000 0.5000 0.5000
Pt2 0.0659 0.7910 0.5000
```

---

First-principles (GGA-PBE) data for Sm2Zn3CdPt4 after structural relaxation, as listed in Alexandria via LeMat-Bulk.

Cell and atoms, written as CIF:
```
data_Sm2Zn3CdPt4
_chemical_formula_sum 'Sm2 Zn3 Cd1 Pt4'
_space_group_name_H-M_alt 'P -4 m 2'
_space_group_IT_number 115
_cell_length_a 4.0769
_cell_length_b 4.0769
_cell_length_c 11.7168
_cell_angle_alpha 90.00
_cell_angle_beta 90.00
_cell_angle_gamma 90.00
loop_
_space_group_symop_operation_xyz
'x,y,z'
'y,-x,-z'
'-x,-y,z'
'-y,x,-z'
'-x,y,z'
'-y,-x,-z'
'x,-y,z'
'y,x,-z'
loop_
_atom_site_label
_atom_site_fract_x
_atom_site_fract_y
_atom_site_fract_z
Sm1 0.0000 0.5000 0.2391
Zn1 0.0000 0.5000 0.8700
Zn2 0.5000 0.5000 0.5000
Cd1 0.0000 0.0000 0.5000
Pt1 0.0000 0.0000 0.0000
Pt2 0.0000 0.5000 0.6577
Pt3 0.5000 0.5000 0.0000
```

---

First-principles (GGA-PBE) data for SmZn2CdPt2 after structural relaxation, as listed in Alexandria via LeMat-Bulk.

Cell and atoms, written as CIF:
```
data_SmZn2CdPt2
_chemical_formula_sum 'Sm1 Zn2 Cd1 Pt2'
_space_group_name_H-M_alt 'P -3 m 1'
_space_group_IT_number 164
_space_group_name_Hall '-P 3 2"'
_cell_length_a 4.4598
_cell_length_b 4.4598
_cell_length_c 6.6389
_cell_angle_alpha 90.00
_cell_angle_beta 90.00
_cell_angle_gamma 120.00
loop_
_atom_site_label
_atom_site_fract_x
_atom_site_fract_y
_atom_site_fract_z
Sm1 0.0000 0.0000 0.0000
Zn1 0.3333 0.6667 0.2964
Cd1 0.0000 0.0000 0.5000
Pt1 0.3333 0.6667 0.7252
```

---

First-principles (GGA-PBE) data for CdSn2Pt2 after structural relaxation, as listed in Alexandria via LeMat-Bulk.

Cell and atoms, written as CIF:
```
data_CdSn2Pt2
_chemical_formula_sum 'Cd1 Sn2 Pt2'
_space_group_name_H-M_alt 'P -3 m 1'
_space_group_IT_number 164
_space_group_name_Hall '-P 3 2"'
_cell_length_a 4.6308
_cell_length_b 4.6308
_cell_length_c 5.7285
_cell_angle_alpha 90.00
_cell_angle_beta 90.00
_cell_angle_gamma 120.00
loop_
_atom_site_label
_atom_site_fract_x
_atom_site_fract_y
_atom_site_fract_z
Cd1 0.0000 0.0000 0.0000
Sn1 0.3333 0.6667 0.3192
Pt1 0.3333 0.6667 0.7987
```

## Properties
Its energy above the most stable polymorph in this dataset is 0.0000 eV per atom.

---

First-principles (GGA-PBE) data for Cd2Sn2Pt after structural relaxation, as listed in Alexandria via LeMat-Bulk.

Cell and atoms, written as CIF:
```
data_Cd2Sn2Pt
_chemical_formula_sum 'Cd4 Sn4 Pt2'
_space_group_name_H-M_alt 'P 4/m b m'
_space_group_IT_number 127
_space_group_name_Hall '-P 4 2ab'
_cell_length_a 6.9917
_cell_length_b 6.9917
_cell_length_c 4.9647
_cell_angle_alpha 90.00
_cell_angle_beta 90.00
_cell_angle_gamma 90.00
loop_
_atom_site_label
_atom_site_fract_x
_atom_site_fract_y
_atom_site_fract_z
Cd1 0.1679 0.3321 0.0000
Sn1 0.1508 0.6508 0.5000
Pt1 0.0000 0.0000 0.5000
```

## Properties
Its energy above the most stable polymorph in this dataset is 0.0000 eV per atom.

---

First-principles (GGA-PBE) data for CdSn3Pt12 after structural relaxation, as listed in Alexandria via LeMat-Bulk.

Cell and atoms, written as CIF:
```
data_CdSn3Pt12
_chemical_formula_sum 'Cd1 Sn3 Pt12'
_space_group_name_H-M_alt 'P 4/m m m'
_space_group_IT_number 123
_space_group_name_Hall '-P 4 2'
_cell_length_a 4.0531
_cell_length_b 4.0531
_cell_length_c 16.2194
_cell_angle_alpha 90.00
_cell_angle_beta 90.00
_cell_angle_gamma 90.00
loop_
_atom_site_label
_atom_site_fract_x
_atom_site_fract_y
_atom_site_fract_z
Cd1 0.0000 0.0000 0.0000
Sn1 0.0000 0.0000 0.2459
Sn2 0.0000 0.0000 0.5000
Pt1 0.0000 0.5000 0.1253
Pt2 0.0000 0.5000 0.3749
Pt3 0.5000 0.5000 0.0000
Pt4 0.5000 0.5000 0.2516
Pt5 0.5000 0.5000 0.5000
```

---

First-principles (GGA-PBE) data for CdSn3Pt3 after structural relaxation, as listed in Alexandria via LeMat-Bulk.

Cell and atoms, written as CIF:
```
data_CdSn3Pt3
_chemical_formula_sum 'Cd6 Sn18 Pt18'
_space_group_name_H-M_alt 'R -3'
_space_group_IT_number 148
_space_group_name_Hall '-R 3'
_cell_length_a 8.1123
_cell_length_b 8.1123
_cell_length_c 16.2656
_cell_angle_alpha 90.00
_cell_angle_beta 90.00
_cell_angle_gamma 120.00
loop_
_atom_site_label
_atom_site_fract_x
_atom_site_fract_y
_atom_site_fract_z
Cd1 0.0000 0.0000 0.1645
Sn1 0.0082 0.3010 0.6046
Pt1 0.0059 0.3578 0.4364
```

---

First-principles (GGA-PBE) data for CdSnPt5 after structural relaxation, as listed in Alexandria via LeMat-Bulk.

Cell and atoms, written as CIF:
```
data_CdSnPt5
_chemical_formula_sum 'Cd1 Sn1 Pt5'
_space_group_name_H-M_alt 'P 4/m m m'
_space_group_IT_number 123
_space_group_name_Hall '-P 4 2'
_cell_length_a 3.9833
_cell_length_b 3.9833
_cell_length_c 7.9188
_cell_angle_alpha 90.00
_cell_angle_beta 90.00
_cell_angle_gamma 90.00
loop_
_atom_site_label
_atom_site_fract_x
_atom_site_fract_y
_atom_site_fract_z
Cd1 0.0000 0.0000 0.0000
Sn1 0.5000 0.5000 0.5000
Pt1 0.0000 0.5000 0.2631
Pt2 0.5000 0.5000 0.0000
```

---

First-principles (GGA-PBE) data for Cd4SnPt15 after structural relaxation, as listed in Alexandria via LeMat-Bulk.

Cell and atoms, written as CIF:
```
data_Cd4SnPt15
_chemical_formula_sum 'Cd4 Sn1 Pt15'
_space_group_name_H-M_alt 'P 4/m m m'
_space_group_IT_number 123
_space_group_name_Hall '-P 4 2'
_cell_length_a 4.0384
_cell_length_b 4.0384
_cell_length_c 20.2823
_cell_angle_alpha 90.00
_cell_angle_beta 90.00
_cell_angle_gamma 90.00
loop_
_atom_site_label
_atom_site_fract_x
_atom_site_fract_y
_atom_site_fract_z
Cd1 0.0000 0.0000 0.0999
Cd2 0.0000 0.0000 0.2991
Sn1 0.0000 0.0000 0.5000
Pt1 0.0000 0.5000 0.0000
Pt2 0.0000 0.5000 0.1995
Pt3 0.0000 0.5000 0.4002
Pt4 0.5000 0.5000 0.0998
Pt5 0.5000 0.5000 0.2998
Pt6 0.5000 0.5000 0.5000
```

---

First-principles (GGA-PBE) data for Cd2SnPt9 after structural relaxation, as listed in Alexandria via LeMat-Bulk.

Cell and atoms, written as CIF:
```
data_Cd2SnPt9
_chemical_formula_sum 'Cd2 Sn1 Pt9'
_space_group_name_H-M_alt 'P 4/m m m'
_space_group_IT_number 123
_space_group_name_Hall '-P 4 2'
_cell_length_a 4.0438
_cell_length_b 4.0438
_cell_length_c 12.1527
_cell_angle_alpha 90.00
_cell_angle_beta 90.00
_cell_angle_gamma 90.00
loop_
_atom_site_label
_atom_site_fract_x
_atom_site_fract_y
_atom_site_fract_z
Cd1 0.0000 0.0000 0.1655
Sn1 0.0000 0.0000 0.5000
Pt1 0.0000 0.5000 0.0000
Pt2 0.0000 0.5000 0.3340
Pt3 0.5000 0.5000 0.1674
Pt4 0.5000 0.5000 0.5000
```

---

| no. | density of states at the Fermi level (states/eV/cell) | calculated formation energy (meV/atom) | VASP energy (eV per cell) |
| --- | --- | --- | --- |
| 1 | 14.74 | -215.2 | -43.60 |
| 2 | 8.36 | -726.2 | -58.70 |
| 3 | 46.38 | -485.2 | -333.30 |
| 4 | 11.25 | -829.7 | -84.99 |
| 5 | 5.70 | -759.8 | -54.12 |
| 6 | 12.76 | -538.3 | -84.99 |
| 7 | 5.92 | -472.7 | -63.73 |
| 8 | 12.33 | -690.8 | -83.61 |
| 9 | 10.51 | -557.7 | -60.72 |
| 10 | 2.21 | -227.5 | -26.13 |
| 11 | 8.45 | -766.4 | -101.54 |
| 12 | 4.14 | -730.5 | -45.64 |
| 13 | 1.87 | -671.9 | -24.30 |
| 14 | 1.95 | -409.5 | -23.05 |
| 15 | 3.77 | -54.9 | -32.30 |
| 16 | 12.44 | -352.3 | -91.05 |
| 17 | 12.43 | -425.1 | -204.13 |
| 18 | 4.13 | -265.3 | -36.98 |
| 19 | 22.16 | -227.0 | -102.82 |
| 20 | 12.23 | -257.7 | -63.29 |